Record 1
Material: ZnWAu
Method: DFT, PBE
State: relaxed

Summary:
DFT formation energy in eV per atom: 0.85
Space group: F-43m (216)

a = 4.3044 Å, b = 4.3044 Å, c = 4.3044 Å
α = 60.00°, β = 60.00°, γ = 60.00°
Closest atoms and distances in Å follow each position.
Positions (direct):
1 Zn 0.0000 0.0000 0.0000  4 Au 2.64
2 W 0.5000 0.5000 0.5000  4 Au 2.64
3 Au 0.2500 0.2500 0.2500  4 W 2.64, 4 Zn 2.64

Record 2
Material: MgScAs2
Method: DFT, PBE
State: relaxed

Summary:
DFT formation energy in eV per atom: -0.79
Space group: C2/m (12)

a = 3.9312 Å, b = 3.9312 Å, c = 6.7097 Å
α = 106.81°, β = 106.81°, γ = 59.69°
Closest atoms and distances in Å follow each position.
Positions (direct):
1 Mg 0.0000 0.0000 0.0000  6 As 2.78-2.79
2 Sc 0.5000 0.5000 0.5000  6 As 2.74
3 As 0.2475 0.2475 0.7440  3 Sc 2.74, 3 Mg 2.78-2.79
4 As 0.7525 0.7525 0.2560  3 Sc 2.74, 3 Mg 2.78-2.79

Record 3
Material: Y4ScW
Method: DFT, PBE
State: relaxed

Summary:
DFT formation energy in eV per atom: 0.92
Space group: F-43m (216)

a = 6.1210 Å, b = 6.1210 Å, c = 6.1210 Å
α = 60.00°, β = 60.00°, γ = 60.00°
Closest atoms and distances in Å follow each position.
Positions (direct):
1 Y 0.3763 0.3763 0.3763  6 Y 3.03-3.09
2 Y 0.3763 0.3763 0.8710  6 Y 3.03-3.09
3 Y 0.3763 0.8710 0.3763  6 Y 3.03-3.09
4 Y 0.8710 0.3763 0.3763  6 Y 3.03-3.09
5 Sc 0.0000 0.0000 0.0000  12 Y 3.59, 4 W 3.75
6 W 0.7500 0.7500 0.7500  12 Y 3.59, 4 Sc 3.75

Record 4
Material: RbNp2O8
Method: DFT, PBE
State: relaxed

Summary:
ΔE_f (raw) in meV/atom: -2164.3
Space group: C2/m (12)

a = 7.0397 Å, b = 7.0397 Å, c = 9.3366 Å
α = 129.20°, β = 129.20°, γ = 34.87°
Closest atoms and distances in Å follow each position.
Positions (direct):
1 Rb 0.0000 0.0000 0.0000  12 O 3.07-3.41
2 Np 0.1688 0.1688 0.6811  3 O 1.84-1.95
3 Np 0.8312 0.8312 0.3189  3 O 1.84-1.95
4 O 0.0069 0.0069 0.6415  1 Np 1.95
5 O 0.2946 0.2946 0.6579  1 Np 1.84
6 O 0.3132 0.3132 0.9499  1 Np 1.90
7 O 0.3288 0.3288 0.3144  2 Np 2.11
8 O 0.6712 0.6712 0.6856  2 Np 2.11
9 O 0.6868 0.6868 0.0501  1 Np 1.90
10 O 0.7054 0.7054 0.3421  1 Np 1.84
11 O 0.9931 0.9931 0.3585  1 Np 1.95

Record 5
Material: BeSb2TeRh
Method: DFT, PBE
State: relaxed

Summary:
ΔE_f (raw) in meV/atom: 764.9
Space group: P4/mmm (123)

a = 5.0092 Å, b = 5.0092 Å, c = 5.5828 Å
α = 90.00°, β = 90.00°, γ = 90.00°
Closest atoms and distances in Å follow each position.
Positions (direct):
1 Be 0.0000 0.0000 0.0000  4 Te 3.54, 8 Sb 3.75
2 Sb 0.0000 0.5000 0.5000  2 Rh 2.50
3 Sb 0.5000 0.0000 0.5000  2 Rh 2.50
4 Te 0.5000 0.5000 0.0000  2 Rh 2.79
5 Rh 0.5000 0.5000 0.5000  4 Sb 2.50, 2 Te 2.79

Record 6
Material: NpCoW
Method: DFT, PBE
State: relaxed

Summary:
DFT formation energy in eV per atom: 0.44
Space group: C2/m (12)

a = 4.9403 Å, b = 4.9403 Å, c = 7.8546 Å
α = 104.77°, β = 104.77°, γ = 31.47°
Closest atoms and distances in Å follow each position.
Positions (direct):
1 Np 0.0713 0.0713 0.1524  1 Co 2.35, 1 Np 2.42
2 Np 0.9287 0.9287 0.8476  1 Co 2.35, 1 Np 2.42
3 Co 0.3148 0.3148 0.1384  1 Np 2.35, 2 Co 2.57, 2 W 2.58
4 Co 0.6852 0.6852 0.8616  1 Np 2.35, 2 Co 2.57, 2 W 2.58
5 W 0.1435 0.1435 0.5724  2 Co 2.58, 3 W 2.66-2.68
6 W 0.8565 0.8565 0.4276  2 Co 2.58, 3 W 2.66-2.68

Record 7
Material: Tb12Ni6Pt
Method: DFT, PBE
State: relaxed

Summary:
DFT formation energy in eV per atom: -0.27
Space group: R-3 (148)

a = 8.0602 Å, b = 8.0602 Å, c = 8.0602 Å
α = 99.18°, β = 99.18°, γ = 99.18°
Closest atoms and distances in Å follow each position.
Positions (direct):
1 Tb 0.0579 0.9087 0.6722  2 Ni 2.72-2.75, 1 Pt 2.76
2 Tb 0.0913 0.3278 0.9421  2 Ni 2.72-2.75, 1 Pt 2.76
3 Tb 0.1813 0.5725 0.4111  3 Ni 2.69-2.85
4 Tb 0.3278 0.9421 0.0913  2 Ni 2.72-2.75, 1 Pt 2.76
5 Tb 0.4111 0.1813 0.5725  3 Ni 2.69-2.85
6 Tb 0.4275 0.5889 0.8187  3 Ni 2.69-2.85
7 Tb 0.5725 0.4111 0.1813  3 Ni 2.69-2.85
8 Tb 0.5889 0.8187 0.4275  3 Ni 2.69-2.85
9 Tb 0.6722 0.0579 0.9087  2 Ni 2.72-2.75, 1 Pt 2.76
10 Tb 0.8187 0.4275 0.5889  3 Ni 2.69-2.85
11 Tb 0.9087 0.6722 0.0579  2 Ni 2.72-2.75, 1 Pt 2.76
12 Tb 0.9421 0.0913 0.3278  2 Ni 2.72-2.75, 1 Pt 2.76
13 Ni 0.1323 0.3151 0.6125  5 Tb 2.69-2.85
14 Ni 0.3151 0.6125 0.1323  5 Tb 2.69-2.85
15 Ni 0.3875 0.8677 0.6849  5 Tb 2.69-2.85
16 Ni 0.6125 0.1323 0.3151  5 Tb 2.69-2.85
17 Ni 0.6849 0.3875 0.8677  5 Tb 2.69-2.85
18 Ni 0.8677 0.6849 0.3875  5 Tb 2.69-2.85
19 Pt 0.0000 0.0000 0.0000  6 Tb 2.76

Theoretical density? In order: 13139 4311 5984 5761 5726 16511 8134 kg/m3.
Magnetic moment? In order: 0.31 0.00 0.17 0.07 0.00 0.24 0.00 μB/atom.
Density of states at the Fermi level? In order: 4.50 2.99 12.18 5.91 3.65 10.83 19.69 states/eV/cell.